meta-GGA SCAN ScMoRh2, PBEsol geometry; DFT formation energy = -0.174 eV per atom
1.0
-0.410 -2.986 -3.199
2.389 -3.688 0.117
-1.946 -3.854 0.827
Rh Mo Sc
2 1 1
Direct
0.750 0.750 0.750
0.000 0.000 0.000
0.500 0.500 0.500
0.250 0.250 0.250

***

meta-GGA SCAN BaLiIn2, PBEsol geometry; DFT formation energy = -0.510 eV per atom
1.0
4.790 0.000 0.000
2.395 4.148 0.000
2.395 1.383 6.146
Li In Ba
1 2 1
Direct
0.000 0.000 0.000
0.702 0.702 0.895
0.298 0.298 0.105
0.500 0.500 0.500